Record 1
DFT (PBE) results for a relaxed structure of LiErCdBi.

As for the energy relative to the elements: -0.335 eV per atom.

It has space group F-43m (No. 216), with a = 7.3614 Å, b = 7.3614 Å, c = 7.3614 Å, α = 90.00°, β = 90.00° and γ = 90.00°. The inequivalent atoms are Li at (0.0000, 0.0000, 0.0000), Er at (0.0000, 0.0000, 0.5000), Cd at (0.2500, 0.2500, 0.7500) and Bi at (0.2500, 0.2500, 0.2500).


Record 2
DFT (PBE) results for a relaxed structure of K12HgAu4O3.

Its energy is -105.31 eV/cell.

It has space group Im-3m (No. 229), with a = 11.1443 Å, b = 11.1443 Å, c = 11.1443 Å, α = 90.00°, β = 90.00° and γ = 90.00°. The inequivalent atoms are K at (0.0000, 0.0000, 0.2833), K at (0.0000, 0.2500, 0.5000), Hg at (0.0000, 0.0000, 0.0000), Au at (0.2500, 0.2500, 0.2500) and O at (0.0000, 0.0000, 0.5000).


Record 3
DFT (PBE) results for a relaxed structure of BaZn3O.

The energy above the lowest structure with this stoichiometry comes out at 1140 meV per atom.

It has space group Pm-3m (No. 221), with a = 6.5344 Å, b = 6.5344 Å, c = 6.5344 Å, α = 90.00°, β = 90.00° and γ = 90.00°. The inequivalent atoms are Ba at (0.0000, 0.0000, 0.0000), Zn at (0.0000, 0.0000, 0.5000) and O at (0.5000, 0.5000, 0.5000).


Record 4
DFT (PBE) results for a relaxed structure of Na2MnP2.

As for the energy relative to the elements: 0.433 eV per atom. The energy above the lowest structure with this stoichiometry comes out at 715 meV per atom.

It has space group P4/mmm (No. 123), with a = 2.7554 Å, b = 2.7554 Å, c = 13.4227 Å, α = 90.00°, β = 90.00° and γ = 90.00°. The inequivalent atoms are Na at (0.0000, 0.0000, 0.1218), Mn at (0.0000, 0.0000, 0.5000) and P at (0.0000, 0.0000, 0.3295).